Record 1
Material: MnHg2Br6
Method: DFT, GGA-PBE
State: optimized geometry

ρ, Mg/m³: 5.28
E_tot, eV/atom: -2.716
Symmetry: C2/c (15)
Offset from the most stable computed form, eV per atom: 0.013
Formation energy from raw total energies, kJ per mole of atoms: -49.70

a = 9.1014 Å, b = 9.1014 Å, c = 7.2443 Å
α = 97.50°, β = 97.50°, γ = 84.76°
Positions (direct):
Mn 0.0939 0.9061 0.7500
Mn 0.9061 0.0939 0.2500
Hg 0.2254 0.4105 0.6753
Hg 0.4105 0.2254 0.1753
Hg 0.5895 0.7746 0.8247
Hg 0.7746 0.5895 0.3247
Br 0.0333 0.1815 0.6038
Br 0.1106 0.6465 0.8740
Br 0.1815 0.0333 0.1038
Br 0.2830 0.4747 0.3447
Br 0.3535 0.8894 0.6260
Br 0.4747 0.2830 0.8447
Br 0.5253 0.7170 0.1553
Br 0.6465 0.1106 0.3740
Br 0.7170 0.5253 0.6553
Br 0.8185 0.9667 0.8962
Br 0.8894 0.3535 0.1260
Br 0.9667 0.8185 0.3962


Record 2
Material: BeBiTe2N
Method: DFT, GGA-PBE
State: optimized geometry

Fermi-level density of states, states/eV/atom: 0.88
ρ, Mg/m³: 7.18
E_tot, eV/atom: -4.083
Symmetry: P4/mmm (123)
Offset from the most stable computed form, eV per atom: 0.000
Formation energy from raw total energies, kJ per mole of atoms: 34.74

a = 6.0015 Å, b = 6.0015 Å, c = 3.1295 Å
α = 90.00°, β = 90.00°, γ = 90.00°
Positions (direct):
Be 0.0000 0.0000 0.0000
Bi 0.5000 0.5000 0.5000
Te 0.0000 0.5000 0.0000
Te 0.5000 0.0000 0.0000
N 0.0000 0.0000 0.5000


Record 3
Material: DyY2Er
Method: DFT, GGA-PBE
State: optimized geometry

Fermi-level density of states, states/eV/atom: 1.48
Energy of formation, meV per atom: 25.7
ρ, Mg/m³: 6.67
E_tot, eV/atom: -5.498
Symmetry: P4/mmm (123)
Offset from the most stable computed form, eV per atom: 0.023

a = 5.0181 Å, b = 5.0181 Å, c = 5.0216 Å
α = 90.00°, β = 90.00°, γ = 90.00°
Positions (direct):
Dy 0.0000 0.0000 0.0000
Y 0.0000 0.5000 0.5000
Y 0.5000 0.0000 0.5000
Er 0.5000 0.5000 0.0000


Record 4
Material: Nd6Bi2AsSe3
Method: DFT, GGA-PBE
State: optimized geometry

Fermi-level density of states, states/eV/atom: 0.42
ρ, Mg/m³: 7.46
E_tot, eV/atom: -5.770
Symmetry: C2/m (12)
Formation energy from raw total energies, kJ per mole of atoms: -142.91

a = 9.7765 Å, b = 9.7765 Å, c = 8.7549 Å
α = 102.51°, β = 102.51°, γ = 25.80°
Positions (direct):
Nd 0.0038 0.0038 0.2643
Nd 0.3395 0.3395 0.4307
Nd 0.3401 0.3401 0.9043
Nd 0.6599 0.6599 0.0957
Nd 0.6605 0.6605 0.5693
Nd 0.9962 0.9962 0.7357
Bi 0.1676 0.1676 0.8363
Bi 0.8324 0.8324 0.1637
As 0.5000 0.5000 0.5000
Se 0.1690 0.1690 0.3365
Se 0.5000 0.5000 0.0000
Se 0.8310 0.8310 0.6635


Record 5
Material: LiNiHg2
Method: DFT, GGA-PBE
State: optimized geometry

Fermi-level density of states, states/eV/atom: 0.43
Energy of formation, meV per atom: 75.6
ρ, Mg/m³: 11.21
E_tot, eV/atom: -1.999
Symmetry: F-43m (216)

a = 4.6078 Å, b = 4.6078 Å, c = 4.6078 Å
α = 60.00°, β = 60.00°, γ = 60.00°
Positions (direct):
Li 0.0000 0.0000 0.0000
Ni 0.7500 0.7500 0.7500
Hg 0.2500 0.2500 0.2500
Hg 0.5000 0.5000 0.5000


Record 6
Material: ThGe2OsRu
Method: DFT, GGA-PBE
State: optimized geometry

Fermi-level density of states, states/eV/atom: 0.71
Energy of formation, meV per atom: -568.4
ρ, Mg/m³: 11.94
E_tot, eV/atom: -8.000
Symmetry: I-4m2 (119)

a = 5.8558 Å, b = 5.8558 Å, c = 5.8558 Å
α = 136.78°, β = 136.78°, γ = 62.77°
Positions (direct):
Th 0.0000 0.0000 0.0000
Ge 0.3703 0.3703 0.0000
Ge 0.6297 0.6297 0.0000
Os 0.7500 0.2500 0.5000
Ru 0.2500 0.7500 0.5000


Record 7
Material: SrAlIr
Method: DFT, GGA-PBE
State: optimized geometry

Fermi-level density of states, states/eV/atom: 0.16
Energy of formation, meV per atom: 882.5
ρ, Mg/m³: 6.36
E_tot, eV/atom: -3.879
Symmetry: F-43m (216)

a = 4.8393 Å, b = 4.8393 Å, c = 4.8393 Å
α = 60.00°, β = 60.00°, γ = 60.00°
Positions (direct):
Sr 0.0000 0.0000 0.0000
Al 0.7500 0.7500 0.7500
Ir 0.2500 0.2500 0.2500


Record 8
Material: K2CuTe
Method: DFT, GGA-PBE
State: optimized geometry

Fermi-level density of states, states/eV/atom: 0.98
ρ, Mg/m³: 2.91
E_tot, eV/atom: -2.344
Symmetry: R-3m (166)
Formation energy from raw total energies, kJ per mole of atoms: 1.34

a = 9.9057 Å, b = 9.9057 Å, c = 9.9057 Å
α = 25.08°, β = 25.08°, γ = 25.08°
Positions (direct):
K 0.2468 0.2468 0.2468
K 0.7532 0.7532 0.7532
Cu 0.5000 0.5000 0.5000
Te 0.0000 0.0000 0.0000


no.,magnetic moment (μB/f.u.)
1,5.00
2,0.00
3,0.00
4,0.00
5,0.00
6,0.00
7,0.00
8,0.24